[1]
## Pu2FeCoGe6 (PBE)

Data for a relaxed structure of Pu2FeCoGe6.

Lattice parameters (Å, degrees): 5.9815 5.9815 12.2479 75.87 75.87 60.00
Closest atoms and distances in Å follow each position.
Atoms (fractional coordinates):
Pu 0.8754 0.8754 0.3739  12 Ge 3.00-3.22
Pu 0.1246 0.1246 0.6261  12 Ge 3.00-3.22
Pu 0.6926 0.6926 0.9221  9 Ge 3.10-3.23
Pu 0.3074 0.3074 0.0779  9 Ge 3.10-3.23
Fe 0.5769 0.5769 0.2694  6 Ge 2.35-2.38
Fe 0.4231 0.4231 0.7306  6 Ge 2.35-2.38
Co 0.0000 0.0000 0.0000  6 Ge 2.35
Co 0.5000 0.5000 0.5000  6 Ge 2.40
Ge 0.9187 0.3492 0.3829  1 Fe 2.38, 1 Co 2.40, 2 Ge 2.58
Ge 0.3492 0.9187 0.3829  1 Fe 2.38, 1 Co 2.40, 2 Ge 2.58
Ge 0.3492 0.3492 0.3829  1 Fe 2.38, 1 Co 2.40, 2 Ge 2.58
Ge 0.0813 0.6508 0.6171  1 Fe 2.38, 1 Co 2.40, 2 Ge 2.58
Ge 0.6508 0.0813 0.6171  1 Fe 2.38, 1 Co 2.40, 2 Ge 2.58
Ge 0.6508 0.6508 0.6171  1 Fe 2.38, 1 Co 2.40, 2 Ge 2.58
Ge 0.7420 0.2026 0.8528  1 Co 2.35, 1 Fe 2.35
Ge 0.2026 0.7420 0.8528  1 Co 2.35, 1 Fe 2.35
Ge 0.2026 0.2026 0.8528  1 Co 2.35, 1 Fe 2.35
Ge 0.2580 0.7974 0.1472  1 Co 2.35, 1 Fe 2.35
Ge 0.7974 0.2580 0.1472  1 Co 2.35, 1 Fe 2.35
Ge 0.7974 0.7974 0.1472  1 Co 2.35, 1 Fe 2.35

## Properties
- Energy of formation: -0.2156 eV per atom
- Density of states at the Fermi level: 36.38 states/eV/cell
- Space group: No. 166



[2]
## FeCoGeSb2 (PBE)

Data for a relaxed structure of FeCoGeSb2.

Lattice parameters (Å, degrees): 5.2769 4.3920 5.2769 90.00 90.00 90.00
Closest atoms and distances in Å follow each position.
Atoms (fractional coordinates):
Sb 0.0000 0.0000 0.5000  2 Ge 2.64
Sb 0.5000 0.0000 0.0000  2 Ge 2.64
Ge 0.0000 0.0000 0.0000  2 Fe 2.20
Co 0.5000 0.5000 0.5000  8 Sb 3.43, 4 Fe 3.73
Fe 0.0000 0.5000 0.0000  2 Ge 2.20

## Properties
- Energy relative to the lowest polymorph listed for this composition: 614 meV per atom
- Density of states at the Fermi level: 5.60 states/eV/cell
- Space group: No. 123



[3]
## FeCoGeSb2 (PBE)

Data for a relaxed structure of FeCoGeSb2.

Lattice parameters (Å, degrees): 4.8601 4.6340 4.8601 90.00 90.00 90.00
Closest atoms and distances in Å follow each position.
Atoms (fractional coordinates):
Sb 0.0000 0.0000 0.5000  2 Co 2.43
Sb 0.5000 0.0000 0.0000  2 Co 2.43
Ge 0.5000 0.5000 0.5000  8 Sb 3.36, 4 Fe 3.44
Co 0.0000 0.0000 0.0000  2 Fe 2.32, 4 Sb 2.43
Fe 0.0000 0.5000 0.0000  2 Co 2.32

## Properties
- Energy relative to the lowest polymorph listed for this composition: 0 meV per atom
- Density of states at the Fermi level: 5.62 states/eV/cell
- Space group: No. 123



[4]
## ScFeCoGe3 (PBE)

Data for a relaxed structure of ScFeCoGe3.

Lattice parameters (Å, degrees): 6.3060 5.7699 6.1052 118.20 90.00 90.00
Closest atoms and distances in Å follow each position.
Atoms (fractional coordinates):
Sc 0.7500 0.2808 0.5616  1 Co 2.44
Sc 0.2500 0.7192 0.4384  1 Co 2.44
Fe 0.2500 0.3863 0.7726  5 Ge 2.26-2.37
Fe 0.7500 0.6137 0.2274  5 Ge 2.26-2.37
Co 0.2500 0.9462 0.8924  5 Ge 2.32-2.47, 1 Sc 2.44
Co 0.7500 0.0538 0.1076  5 Ge 2.32-2.47, 1 Sc 2.44
Ge 0.2500 0.1760 0.3520  1 Fe 2.26, 1 Co 2.47
Ge 0.0000 0.2775 0.0000  2 Co 2.32, 2 Fe 2.37, 1 Ge 2.57
Ge 0.5000 0.7225 0.0000  2 Co 2.32, 2 Fe 2.37, 1 Ge 2.57
Ge 0.5000 0.2775 0.0000  2 Co 2.32, 2 Fe 2.37, 1 Ge 2.57
Ge 0.0000 0.7225 0.0000  2 Co 2.32, 2 Fe 2.37, 1 Ge 2.57
Ge 0.7500 0.8240 0.6480  1 Fe 2.26, 1 Co 2.47

## Properties
- Energy of formation: -0.0856 eV per atom
- Density of states at the Fermi level: 7.07 states/eV/cell
- Space group: No. 63



[5]
## TaFe2CoGe (PBE)

Data for a relaxed structure of TaFe2CoGe.

Lattice parameters (Å, degrees): 4.1535 4.4940 4.1535 90.00 90.00 90.00
Closest atoms and distances in Å follow each position.
Atoms (fractional coordinates):
Ge 0.5000 0.5000 0.5000  4 Ta 2.94, 8 Fe 3.06
Co 0.0000 0.0000 0.0000  4 Fe 2.08, 2 Ta 2.25
Fe 0.0000 0.0000 0.5000  2 Co 2.08
Fe 0.5000 0.0000 0.0000  2 Co 2.08
Ta 0.0000 0.5000 0.0000  2 Co 2.25

## Properties
- Energy of formation: 1.0768 eV per atom
- Density of states at the Fermi level: 10.45 states/eV/cell
- Space group: No. 123



[6]
## TbFeCoGe3 (PBE)

Data for a relaxed structure of TbFeCoGe3.

Lattice parameters (Å, degrees): 7.1899 5.6513 6.0580 117.80 90.00 90.00
Closest atoms and distances in Å follow each position.
Atoms (fractional coordinates):
Tb 0.7500 0.2589 0.5178  2 Ge 2.83, 1 Co 3.05
Tb 0.2500 0.7411 0.4822  2 Ge 2.83, 1 Co 3.05
Fe 0.2500 0.4367 0.8733  5 Ge 2.20-2.36
Fe 0.7500 0.5633 0.1267  5 Ge 2.20-2.36
Co 0.2500 0.0257 0.0514  5 Ge 2.21-2.33
Co 0.7500 0.9743 0.9486  5 Ge 2.21-2.33
Ge 0.2500 0.2317 0.4635  1 Fe 2.20, 1 Co 2.21
Ge 0.0000 0.2570 0.0000  2 Co 2.33, 2 Fe 2.36
Ge 0.5000 0.7430 0.0000  2 Co 2.33, 2 Fe 2.36
Ge 0.5000 0.2570 0.0000  2 Co 2.33, 2 Fe 2.36
Ge 0.0000 0.7430 0.0000  2 Co 2.33, 2 Fe 2.36
Ge 0.7500 0.7683 0.5365  1 Fe 2.20, 1 Co 2.21

## Properties
- Energy of formation: -0.1966 eV per atom
- Density of states at the Fermi level: 7.19 states/eV/cell
- Space group: No. 63



[7]
## ThFeCoGe2 (PBE)

Data for a relaxed structure of ThFeCoGe2.

Lattice parameters (Å, degrees): 4.0825 4.0825 5.7934 110.63 110.63 90.00
Closest atoms and distances in Å follow each position.
Atoms (fractional coordinates):
Th 0.0000 0.0000 0.0000  8 Ge 3.18, 4 Fe 3.24, 4 Co 3.24
Fe 0.7500 0.2500 0.5000  4 Ge 2.35
Co 0.2500 0.7500 0.5000  4 Ge 2.35
Ge 0.6332 0.6332 0.2665  2 Fe 2.35, 2 Co 2.35
Ge 0.3668 0.3668 0.7335  2 Co 2.35, 2 Fe 2.35

## Properties
- Energy of formation: -0.5529 eV per atom
- Density of states at the Fermi level: 2.49 states/eV/cell
- Space group: No. 119



[8]
## ThFeCoGe3 (PBE)

Data for a relaxed structure of ThFeCoGe3.

Lattice parameters (Å, degrees): 6.3942 6.1307 6.3860 118.69 90.00 90.00
Closest atoms and distances in Å follow each position.
Atoms (fractional coordinates):
Th 0.7500 0.2358 0.4716  1 Co 2.81, 2 Ge 3.11
Th 0.2500 0.7642 0.5284  1 Co 2.81, 2 Ge 3.11
Fe 0.2500 0.4099 0.8199  5 Ge 2.19-2.33
Fe 0.7500 0.5901 0.1801  5 Ge 2.19-2.33
Co 0.2500 0.0151 0.0302  5 Ge 2.24-2.34
Co 0.7500 0.9849 0.9698  5 Ge 2.24-2.34
Ge 0.2500 0.2149 0.4298  1 Fe 2.19, 1 Co 2.24
Ge 0.0000 0.2765 0.0000  2 Fe 2.33, 2 Co 2.34
Ge 0.5000 0.7235 0.0000  2 Fe 2.33, 2 Co 2.34
Ge 0.5000 0.2765 0.0000  2 Fe 2.33, 2 Co 2.34
Ge 0.0000 0.7235 0.0000  2 Fe 2.33, 2 Co 2.34
Ge 0.7500 0.7851 0.5702  1 Fe 2.19, 1 Co 2.24

## Properties
- Energy of formation: -0.2028 eV per atom
- Density of states at the Fermi level: 10.59 states/eV/cell
- Space group: No. 63



> What is the density of states at the Fermi level in the seventh record?

2.49 states/eV/cell